Model 1:
Compound: Er5CoSb2
Source: Alexandria
Functional: PBE-GGA
Structure: optimized geometry

a = 5.4418 Å, b = 5.4418 Å, c = 15.6723 Å
α = 90.00°, β = 90.00°, γ = 116.41°
With the nearest neighbours (Å) after each atom.
Fractional coordinates of all 16 atoms:
Er 0.0656 0.9344 0.6009  1 Co 2.52
Er 0.0656 0.9344 0.8991  1 Co 2.52
Er 0.2554 0.7446 0.2500  2 Co 2.96, 2 Sb 3.02
Er 0.3986 0.6014 0.6386  1 Co 2.76
Er 0.3986 0.6014 0.8614  1 Co 2.76
Er 0.6014 0.3986 0.1386  1 Co 2.76
Er 0.6014 0.3986 0.3614  1 Co 2.76
Er 0.7446 0.2554 0.7500  2 Co 2.96, 2 Sb 3.02
Er 0.9344 0.0656 0.1009  1 Co 2.52
Er 0.9344 0.0656 0.3991  1 Co 2.52
Co 0.1672 0.8328 0.7500  4 Er 2.52-2.76
Co 0.8328 0.1672 0.2500  4 Er 2.52-2.76
Sb 0.2790 0.7210 0.0578  7 Er 3.02-3.28
Sb 0.2790 0.7210 0.4422  7 Er 3.02-3.28
Sb 0.7210 0.2790 0.5578  7 Er 3.02-3.28
Sb 0.7210 0.2790 0.9422  7 Er 3.02-3.28

Its symmetry is Cmcm (63). The volume comes out at 416 Å³/cell.

---

Model 2:
Compound: Er5CoSb2
Source: Alexandria
Functional: PBE-GGA
Structure: optimized geometry

a = 12.1181 Å, b = 8.6882 Å, c = 7.8246 Å
α = 90.00°, β = 90.00°, γ = 90.00°
With the nearest neighbours (Å) after each atom.
Fractional coordinates of all 32 atoms:
Er 0.0020 0.2500 0.0494  1 Co 2.98, 4 Sb 3.09
Er 0.0653 0.5380 0.3236  2 Co 2.72-2.82
Er 0.0653 0.9620 0.3236  2 Co 2.72-2.82
Er 0.1917 0.2500 0.6224  1 Co 2.67
Er 0.2034 0.7500 0.6564  1 Co 2.67
Er 0.2966 0.2500 0.1564  1 Co 2.67
Er 0.3083 0.7500 0.1224  1 Co 2.67
Er 0.4347 0.0380 0.8236  2 Co 2.72-2.82
Er 0.4347 0.4620 0.8236  2 Co 2.72-2.82
Er 0.4980 0.7500 0.5494  1 Co 2.98, 4 Sb 3.09
Er 0.5020 0.2500 0.4506  1 Co 2.98, 4 Sb 3.09
Er 0.5653 0.5380 0.1764  2 Co 2.72-2.82
Er 0.5653 0.9620 0.1764  2 Co 2.72-2.82
Er 0.6917 0.2500 0.8776  1 Co 2.67
Er 0.7034 0.7500 0.8436  1 Co 2.67
Er 0.7966 0.2500 0.3436  1 Co 2.67
Er 0.8083 0.7500 0.3776  1 Co 2.67
Er 0.9347 0.0380 0.6764  2 Co 2.72-2.82
Er 0.9347 0.4620 0.6764  2 Co 2.72-2.82
Er 0.9980 0.7500 0.9506  1 Co 2.98, 4 Sb 3.09
Co 0.0097 0.2500 0.4304  7 Er 2.67-2.98
Co 0.4903 0.7500 0.9304  7 Er 2.67-2.98
Co 0.5097 0.2500 0.0696  7 Er 2.67-2.98
Co 0.9903 0.7500 0.5696  7 Er 2.67-2.98
Sb 0.1729 0.0084 0.9313  8 Er 3.09-3.36
Sb 0.1729 0.4916 0.9313  8 Er 3.09-3.36
Sb 0.3271 0.5084 0.4313  8 Er 3.09-3.36
Sb 0.3271 0.9916 0.4313  8 Er 3.09-3.36
Sb 0.6729 0.0084 0.5687  8 Er 3.09-3.36
Sb 0.6729 0.4916 0.5687  8 Er 3.09-3.36
Sb 0.8271 0.5084 0.0687  8 Er 3.09-3.36
Sb 0.8271 0.9916 0.0687  8 Er 3.09-3.36

Its symmetry is Pnma (62). The volume comes out at 824 Å³/cell.

---

Model 3:
Compound: Er5CoSb2
Source: Alexandria
Functional: PBE-GGA
Structure: optimized geometry

a = 7.8924 Å, b = 12.0576 Å, c = 4.3626 Å
α = 90.00°, β = 90.00°, γ = 90.00°
With the nearest neighbours (Å) after each atom.
Fractional coordinates of all 16 atoms:
Er 0.0000 0.0000 0.0000  4 Sb 3.07, 4 Er 3.43
Er 0.1403 0.3061 0.0000  1 Co 2.59
Er 0.1792 0.5632 0.5000  2 Co 2.71
Er 0.3208 0.0632 0.5000  2 Co 2.71
Er 0.3597 0.8061 0.0000  1 Co 2.59
Er 0.5000 0.5000 0.0000  4 Sb 3.07, 4 Er 3.43
Er 0.6403 0.1939 0.0000  1 Co 2.59
Er 0.6792 0.9368 0.5000  2 Co 2.71
Er 0.8208 0.4368 0.5000  2 Co 2.71
Er 0.8597 0.6939 0.0000  1 Co 2.59
Co 0.0000 0.5000 0.0000  6 Er 2.59-2.71
Co 0.5000 0.0000 0.0000  6 Er 2.59-2.71
Sb 0.0684 0.8261 0.5000  8 Er 3.07-3.35
Sb 0.4316 0.3261 0.5000  8 Er 3.07-3.35
Sb 0.5684 0.6739 0.5000  8 Er 3.07-3.35
Sb 0.9316 0.1739 0.5000  8 Er 3.07-3.35

Its symmetry is Pbam (55). The volume comes out at 415 Å³/cell.

---

Least stable = model 1

---

Model 1:
Compound: Er2ScCo
Source: Alexandria
Functional: PBE-GGA
Structure: optimized geometry

a = 10.5037 Å, b = 10.5037 Å, c = 10.5037 Å
α = 17.99°, β = 17.99°, γ = 17.99°
With the nearest neighbours (Å) after each atom.
Fractional coordinates of all 4 atoms:
Er 0.0786 0.0786 0.0786  1 Co 2.44
Er 0.9214 0.9214 0.9214  1 Co 2.44
Sc 0.5000 0.5000 0.5000  6 Sc 3.28, 6 Er 3.32
Co 0.0000 0.0000 0.0000  2 Er 2.44

Its symmetry is R-3m (166). The volume comes out at 96 Å³/cell.

---

Model 2:
Compound: Er2ScCo
Source: Alexandria
Functional: PBE-GGA
Structure: optimized geometry

a = 3.3547 Å, b = 3.3547 Å, c = 8.2818 Å
α = 90.00°, β = 90.00°, γ = 90.00°
With the nearest neighbours (Å) after each atom.
Fractional coordinates of all 4 atoms:
Er 0.0000 0.0000 0.1942  4 Co 2.87
Er 0.0000 0.0000 0.8058  4 Co 2.87
Sc 0.5000 0.5000 0.5000  4 Sc 3.35, 8 Er 3.47
Co 0.5000 0.5000 0.0000  8 Er 2.87

Its symmetry is P4/mmm (123). The volume comes out at 93 Å³/cell.

---

Model 3:
Compound: Er2ScCo
Source: Alexandria
Functional: PBE-GGA
Structure: optimized geometry

a = 6.7486 Å, b = 9.0331 Å, c = 6.0841 Å
α = 90.00°, β = 90.00°, γ = 90.00°
With the nearest neighbours (Å) after each atom.
Fractional coordinates of all 16 atoms:
Er 0.1803 0.0648 0.1786  2 Co 2.76-2.84
Er 0.1803 0.4352 0.1786  2 Co 2.76-2.84
Er 0.3197 0.5648 0.6786  2 Co 2.76-2.84
Er 0.3197 0.9352 0.6786  2 Co 2.76-2.84
Er 0.6803 0.0648 0.3214  2 Co 2.76-2.84
Er 0.6803 0.4352 0.3214  2 Co 2.76-2.84
Er 0.8197 0.5648 0.8214  2 Co 2.76-2.84
Er 0.8197 0.9352 0.8214  2 Co 2.76-2.84
Sc 0.0447 0.2500 0.6387  2 Co 2.51-2.56
Sc 0.4553 0.7500 0.1387  2 Co 2.51-2.56
Sc 0.5447 0.2500 0.8613  2 Co 2.51-2.56
Sc 0.9553 0.7500 0.3613  2 Co 2.51-2.56
Co 0.1126 0.7500 0.9778  2 Sc 2.51-2.56, 2 Er 2.76
Co 0.3874 0.2500 0.4778  2 Sc 2.51-2.56, 2 Er 2.76
Co 0.6126 0.7500 0.5222  2 Sc 2.51-2.56, 2 Er 2.76
Co 0.8874 0.2500 0.0222  2 Sc 2.51-2.56, 2 Er 2.76

Its symmetry is Pnma (62). The volume comes out at 371 Å³/cell.

---

Least stable = model 1

---

Model 1:
Compound: Er3ScCo2
Source: Alexandria
Functional: PBE-GGA
Structure: optimized geometry

a = 7.9384 Å, b = 7.9384 Å, c = 7.9384 Å
α = 132.84°, β = 71.88°, γ = 129.13°
With the nearest neighbours (Å) after each atom.
Fractional coordinates of all 12 atoms:
Er 0.0204 0.7500 0.2704  4 Co 2.74-2.83
Er 0.2500 0.2500 0.0000  4 Co 2.81
Er 0.4796 0.7500 0.7296  4 Co 2.74-2.83
Er 0.5204 0.2500 0.2704  4 Co 2.74-2.83
Er 0.7500 0.7500 0.0000  4 Co 2.81
Er 0.9796 0.2500 0.7296  4 Co 2.74-2.83
Sc 0.0000 0.5000 0.5000  2 Co 2.45
Sc 0.5000 0.0000 0.5000  2 Co 2.45
Co 0.1336 0.2244 0.3579  1 Sc 2.45, 2 Er 2.74
Co 0.3664 0.7244 0.0908  1 Sc 2.45, 2 Er 2.74
Co 0.6336 0.2756 0.9092  1 Sc 2.45, 2 Er 2.74
Co 0.8664 0.7756 0.6421  1 Sc 2.45, 2 Er 2.74

Its symmetry is Ibam (72). The volume comes out at 278 Å³/cell.

---

Model 2:
Compound: Er3ScCo2
Source: Alexandria
Functional: PBE-GGA
Structure: optimized geometry

a = 7.6511 Å, b = 7.6511 Å, c = 7.6511 Å
α = 149.49°, β = 145.37°, γ = 46.81°
With the nearest neighbours (Å) after each atom.
Fractional coordinates of all 6 atoms:
Er 0.0000 0.0000 0.0000  4 Co 2.86, 4 Sc 3.04
Er 0.1872 0.6872 0.5000  1 Co 2.66
Er 0.8128 0.3128 0.5000  1 Co 2.66
Sc 0.5000 0.5000 0.0000  4 Co 2.66
Co 0.3764 0.8764 0.5000  3 Er 2.66-2.86, 2 Sc 2.66
Co 0.6236 0.1236 0.5000  3 Er 2.66-2.86, 2 Sc 2.66

Its symmetry is Immm (71). The volume comes out at 129 Å³/cell.

---

Least stable = model 2

---

Model 1:
Compound: ErSc2Co
Source: Alexandria
Functional: PBE-GGA
Structure: optimized geometry

a = 6.6116 Å, b = 8.8383 Å, c = 5.9326 Å
α = 90.00°, β = 90.00°, γ = 90.00°
With the nearest neighbours (Å) after each atom.
Fractional coordinates of all 16 atoms:
Er 0.0363 0.2500 0.1297  2 Co 2.61-2.76
Er 0.4637 0.7500 0.6297  2 Co 2.61-2.76
Er 0.5363 0.2500 0.3703  2 Co 2.61-2.76
Er 0.9637 0.7500 0.8703  2 Co 2.61-2.76
Sc 0.1729 0.0658 0.6734  2 Co 2.56-2.67
Sc 0.1729 0.4342 0.6734  2 Co 2.56-2.67
Sc 0.3271 0.5658 0.1734  2 Co 2.56-2.67
Sc 0.3271 0.9342 0.1734  2 Co 2.56-2.67
Sc 0.6729 0.0658 0.8266  2 Co 2.56-2.67
Sc 0.6729 0.4342 0.8266  2 Co 2.56-2.67
Sc 0.8271 0.5658 0.3266  2 Co 2.56-2.67
Sc 0.8271 0.9342 0.3266  2 Co 2.56-2.67
Co 0.1096 0.7500 0.4349  4 Sc 2.56-2.67, 2 Er 2.61-2.76
Co 0.3904 0.2500 0.9349  4 Sc 2.56-2.67, 2 Er 2.61-2.76
Co 0.6096 0.7500 0.0651  4 Sc 2.56-2.67, 2 Er 2.61-2.76
Co 0.8904 0.2500 0.5651  4 Sc 2.56-2.67, 2 Er 2.61-2.76

Its symmetry is Pnma (62). The volume comes out at 347 Å³/cell.

---

Model 2:
Compound: ErSc2Co
Source: Alexandria
Functional: PBE-GGA
Structure: optimized geometry

a = 6.3974 Å, b = 6.3974 Å, c = 6.3974 Å
α = 38.54°, β = 38.54°, γ = 38.54°
With the nearest neighbours (Å) after each atom.
Fractional coordinates of all 4 atoms:
Er 0.0000 0.0000 0.0000  1 Co 3.01, 6 Sc 3.20-3.22
Sc 0.5499 0.5499 0.5499  3 Co 2.58
Sc 0.7851 0.7851 0.7851  3 Co 2.60
Co 0.1698 0.1698 0.1698  6 Sc 2.58-2.60

Its symmetry is R3m (160). The volume comes out at 91 Å³/cell.

---

Least stable = model 2